Record 1
Computed, not measured: crystalline ZrI3Cl at its relaxed geometry at the PBE level of DFT.

Summary:
excess energy over the best structure of this formula in the dataset: 0 meV/atom
E_form (uncorrected): -1.0582 eV per atom

Cell: 8.742 8.742 8.742 Å, 111.27 94.54 123.92°
Fractional coordinates of all 10 atoms:
I (0.092, 0.260, 0.780)
I (0.092, 0.812, 0.332)
I (0.480, 0.312, 0.220)
I (0.921, 0.243, 0.178)
I (0.480, 0.760, 0.668)
I (0.065, 0.743, 0.822)
Cl (0.680, 0.310, 0.870)
Cl (0.440, 0.810, 0.130)
Zr (0.517, 0.033, 0.984)
Zr (0.049, 0.533, 0.016)

Record 2
Computed, not measured: crystalline Sr2CdRhI at its relaxed geometry at the PBE level of DFT.

Summary:
E_form (uncorrected): -0.5475 eV per atom
DOS(E_F): 3.10 states/eV/cell

Cell: 5.800 5.800 5.219 Å, 90.00 90.00 90.00°
Fractional coordinates of all 5 atoms:
Cd (0.000, 0.000, 0.500)
I (0.500, 0.500, 0.500)
Sr (0.500, 0.000, 0.000)
Sr (0.000, 0.500, 0.000)
Rh (0.000, 0.000, 0.000)

Record 3
Computed, not measured: crystalline CaSm12Er6 at its relaxed geometry at the PBE level of DFT.

Summary:
DOS(E_F): 30.93 states/eV/cell

Cell: 8.782 8.782 8.782 Å, 98.02 98.02 98.02°
Fractional coordinates of all 19 atoms:
Sm (0.915, 0.641, 0.641)
Sm (0.239, 0.500, 0.761)
Sm (0.359, 0.359, 0.085)
Sm (0.359, 0.085, 0.359)
Sm (0.761, 0.500, 0.239)
Sm (0.641, 0.915, 0.641)
Sm (0.239, 0.761, 0.500)
Sm (0.641, 0.641, 0.915)
Sm (0.500, 0.239, 0.761)
Sm (0.085, 0.359, 0.359)
Sm (0.500, 0.761, 0.239)
Sm (0.761, 0.239, 0.500)
Er (0.901, 0.901, 0.345)
Er (0.099, 0.655, 0.099)
Er (0.655, 0.099, 0.099)
Er (0.345, 0.901, 0.901)
Er (0.901, 0.345, 0.901)
Er (0.099, 0.099, 0.655)
Ca (0.000, 0.000, 0.000)

Record 4
Computed, not measured: crystalline AgMo3Cl at its relaxed geometry at the PBE level of DFT.

Summary:
excess energy over the best structure of this formula in the dataset: 0 meV/atom
E_form (uncorrected): 1.0740 eV per atom
DOS(E_F): 2.89 states/eV/cell

Cell: 4.420 4.420 4.420 Å, 90.00 90.00 90.00°
Fractional coordinates of all 5 atoms:
Ag (0.500, 0.500, 0.500)
Mo (0.000, 0.500, 0.000)
Mo (0.000, 0.000, 0.500)
Mo (0.500, 0.000, 0.000)
Cl (0.000, 0.000, 0.000)

Record 5
Computed, not measured: crystalline Al2NiBr at its relaxed geometry at the PBE level of DFT.

Summary:
excess energy over the best structure of this formula in the dataset: 332 meV/atom
E_form (uncorrected): 0.0591 eV per atom
DOS(E_F): 2.18 states/eV/cell

Cell: 3.256 3.256 7.410 Å, 90.00 90.00 89.99°
Fractional coordinates of all 4 atoms:
Ni (0.500, 0.500, 0.815)
Al (0.000, 0.000, 0.937)
Al (0.500, 0.500, 0.161)
Br (0.000, 0.000, 0.588)

Record 6
Computed, not measured: crystalline CdBr2Cl at its relaxed geometry at the PBE level of DFT.

Summary:
excess energy over the best structure of this formula in the dataset: 229 meV/atom
E_form (uncorrected): -0.3316 eV per atom
DOS(E_F): 5.79 states/eV/cell

Cell: 8.596 8.596 8.596 Å, 27.39 27.39 27.39°
Fractional coordinates of all 4 atoms:
Cl (0.750, 0.750, 0.750)
Cd (0.250, 0.250, 0.250)
Br (0.979, 0.979, 0.979)
Br (0.521, 0.521, 0.521)

Record 7
Computed, not measured: crystalline Ac4NiSe2Br at its relaxed geometry at the PBE level of DFT.

Summary:
E_form (uncorrected): -1.2744 eV per atom
DOS(E_F): 5.54 states/eV/cell

Cell: 4.284 7.889 7.892 Å, 71.79 90.00 90.00°
Fractional coordinates of all 8 atoms:
Ac (0.500, 0.273, 0.720)
Ac (0.000, 0.757, 0.735)
Ac (0.000, 0.243, 0.265)
Ac (0.500, 0.727, 0.280)
Ni (0.000, 0.500, 0.500)
Se (0.000, 0.000, 0.000)
Se (0.500, 0.000, 0.500)
Br (0.500, 0.500, 0.000)

Record 8
Computed, not measured: crystalline CsZnN2O at its relaxed geometry at the PBE level of DFT.

Summary:
E_form (uncorrected): 2.3341 eV per atom
DOS(E_F): 3.91 states/eV/cell

Cell: 4.395 4.395 4.328 Å, 90.00 90.00 90.00°
Fractional coordinates of all 5 atoms:
O (0.000, 0.000, 0.500)
N (0.000, 0.500, 0.000)
N (0.500, 0.000, 0.000)
Zn (0.500, 0.500, 0.500)
Cs (0.000, 0.000, 0.000)

Record 9
Computed, not measured: crystalline Ho3TlPd2 at its relaxed geometry at the PBE level of DFT.

Summary:
DOS(E_F): 3.20 states/eV/cell

Cell: 3.546 3.546 11.086 Å, 90.00 90.00 90.00°
Fractional coordinates of all 6 atoms:
Tl (0.500, 0.500, 0.500)
Ho (0.000, 0.000, 0.000)
Ho (0.000, 0.000, 0.309)
Ho (0.000, 0.000, 0.691)
Pd (0.500, 0.500, 0.160)
Pd (0.500, 0.500, 0.840)

Record 10
Computed, not measured: crystalline MnFeSiHg2 at its relaxed geometry at the PBE level of DFT.

Summary:
E_form (uncorrected): 1.1672 eV per atom
DOS(E_F): 4.55 states/eV/cell

Cell: 5.088 5.088 4.115 Å, 90.00 90.00 90.00°
Fractional coordinates of all 5 atoms:
Si (0.500, 0.500, 0.500)
Fe (0.000, 0.000, 0.500)
Hg (0.000, 0.500, 0.000)
Hg (0.500, 0.000, 0.000)
Mn (0.000, 0.000, 0.000)

Record 11
Computed, not measured: crystalline TbPr2Sm6Dy3 at its relaxed geometry at the PBE level of DFT.

Summary:
DOS(E_F): 16.19 states/eV/cell

Cell: 6.265 6.265 11.983 Å, 95.00 95.00 119.99°
Fractional coordinates of all 12 atoms:
Sm (0.084, 0.417, 0.253)
Sm (0.916, 0.583, 0.747)
Sm (0.248, 0.248, 0.746)
Sm (0.583, 0.916, 0.747)
Sm (0.417, 0.084, 0.253)
Sm (0.752, 0.752, 0.254)
Pr (0.667, 0.333, 0.000)
Pr (0.333, 0.667, 0.000)
Dy (0.834, 0.166, 0.500)
Dy (0.166, 0.834, 0.500)
Dy (0.500, 0.500, 0.500)
Tb (0.000, 0.000, 0.000)

Record 12
Computed, not measured: crystalline IrPb2W at its relaxed geometry at the PBE level of DFT.

Summary:
excess energy over the best structure of this formula in the dataset: 746 meV/atom
DOS(E_F): 3.83 states/eV/cell

Cell: 5.678 5.678 5.678 Å, 147.54 122.28 67.80°
Fractional coordinates of all 4 atoms:
W (0.750, 0.250, 0.500)
Pb (0.011, 0.011, 0.000)
Pb (0.489, 0.489, 0.000)
Ir (0.250, 0.750, 0.500)

Record 13
Computed, not measured: crystalline BPdS2 at its relaxed geometry at the PBE level of DFT.

Summary:
E_form (uncorrected): 0.1584 eV per atom
DOS(E_F): 2.23 states/eV/cell

Cell: 7.123 7.123 7.123 Å, 24.87 24.87 24.87°
Fractional coordinates of all 4 atoms:
S (0.890, 0.890, 0.890)
S (0.110, 0.110, 0.110)
B (0.500, 0.500, 0.500)
Pd (0.000, 0.000, 0.000)

Record 14
Computed, not measured: crystalline AsIr2Rh at its relaxed geometry at the PBE level of DFT.

Summary:
DOS(E_F): 5.41 states/eV/cell

Cell: 2.768 2.768 9.254 Å, 90.00 90.00 120.47°
Fractional coordinates of all 4 atoms:
Ir (0.000, 0.000, 0.499)
Ir (0.000, 0.000, 0.001)
As (0.500, 0.500, 0.750)
Rh (0.500, 0.500, 0.250)

Record 15
Computed, not measured: crystalline InGe2Pt2 at its relaxed geometry at the PBE level of DFT.

Summary:
DOS(E_F): 4.23 states/eV/cell

Cell: 8.066 8.066 2.824 Å, 90.00 90.00 90.00°
Fractional coordinates of all 10 atoms:
Ge (0.130, 0.370, 0.000)
Ge (0.370, 0.870, 0.000)
Ge (0.630, 0.130, 0.000)
Ge (0.870, 0.630, 0.000)
Pt (0.837, 0.337, 0.500)
Pt (0.337, 0.163, 0.500)
Pt (0.663, 0.837, 0.500)
Pt (0.163, 0.663, 0.500)
In (0.500, 0.500, 0.000)
In (0.000, 0.000, 0.000)

Record 16
Computed, not measured: crystalline Pa3SiP2Ru9 at its relaxed geometry at the PBE level of DFT.

Summary:
E_form (uncorrected): -0.2911 eV per atom
DOS(E_F): 6.37 states/eV/cell

Cell: 6.238 6.238 7.685 Å, 90.00 90.00 120.00°
Fractional coordinates of all 15 atoms:
Si (0.000, 0.000, 0.500)
Ru (0.831, 0.662, 0.669)
Ru (0.662, 0.831, 0.331)
Ru (0.831, 0.169, 0.669)
Ru (0.500, 0.000, 0.000)
Ru (0.000, 0.500, 0.000)
Ru (0.169, 0.831, 0.331)
Ru (0.500, 0.500, 0.000)
Ru (0.169, 0.338, 0.331)
Ru (0.338, 0.169, 0.669)
Pa (0.333, 0.667, 0.660)
Pa (0.000, 0.000, 0.000)
Pa (0.667, 0.333, 0.340)
P (0.333, 0.667, 0.164)
P (0.667, 0.333, 0.836)

Record 17
Computed, not measured: crystalline TiV2Mo4 at its relaxed geometry at the PBE level of DFT.

Summary:
excess energy over the best structure of this formula in the dataset: 196 meV/atom
DOS(E_F): 7.07 states/eV/cell

Cell: 5.322 5.322 5.322 Å, 104.81 104.81 119.27°
Fractional coordinates of all 7 atoms:
V (0.250, 0.750, 0.500)
V (0.750, 0.250, 0.500)
Mo (0.807, 0.806, 0.613)
Mo (0.193, 0.194, 0.387)
Mo (0.194, 0.807, 0.000)
Mo (0.806, 0.193, 0.000)
Ti (0.500, 0.500, 0.000)

Record 18
Computed, not measured: crystalline CeEr2In3 at its relaxed geometry at the PBE level of DFT.

Summary:
DOS(E_F): 9.11 states/eV/cell

Cell: 3.470 3.470 13.204 Å, 90.00 90.00 90.00°
Fractional coordinates of all 6 atoms:
Er (0.500, 0.500, 0.838)
Er (0.500, 0.500, 0.162)
Ce (0.500, 0.500, 0.500)
In (0.000, 0.000, 0.000)
In (0.000, 0.000, 0.326)
In (0.000, 0.000, 0.674)

Record 19
Computed, not measured: crystalline LaTcPt2 at its relaxed geometry at the PBE level of DFT.

Summary:
excess energy over the best structure of this formula in the dataset: 287 meV/atom
DOS(E_F): 6.94 states/eV/cell

Cell: 4.954 4.954 8.921 Å, 73.88 73.88 90.00°
Fractional coordinates of all 8 atoms:
Pt (0.258, 0.625, 0.250)
Pt (0.492, 0.125, 0.250)
Pt (0.875, 0.742, 0.750)
Pt (0.375, 0.508, 0.750)
Tc (0.500, 0.500, 0.000)
Tc (0.250, 0.750, 0.500)
La (0.000, 0.000, 0.000)
La (0.750, 0.250, 0.500)

Record 20
Computed, not measured: crystalline CaInAg at its relaxed geometry at the PBE level of DFT.

Summary:
DOS(E_F): 2.56 states/eV/cell

Cell: 4.822 5.419 7.821 Å, 54.00 72.01 89.93°
Fractional coordinates of all 6 atoms:
Ca (0.099, 0.385, 0.077)
Ca (0.321, 0.243, 0.631)
In (0.624, 0.912, 0.025)
In (0.795, 0.716, 0.684)
Ag (0.427, 0.916, 0.420)
Ag (0.992, 0.712, 0.289)

Table of energy (eV per atom), in record order: -4.067, -3.184, -4.336, -6.364, -3.676, -1.858, -5.132, -2.413, -5.134, -3.565, -4.677, -6.276, -4.873, -7.069, -4.925, -8.839, -9.627, -4.294, -6.869, -2.860
Table of total magnetic moment (μB per cell), in record order: 0.0, 0.0, 0.0, 0.0, 0.0, 1.0, 0.0, 0.0, 0.0, 3.5, 0.0, 0.5, 0.0, 0.0, 0.0, 0.0, 0.0, 1.0, 0.0, 0.0